# 1
# La2Y2Co (PBE-GGA, optimized geometry)
# calculated volume	29.573	A^3/atom
data_La2Y2Co
_cell_length_a 7.112
_cell_length_b 7.112
_cell_length_c 5.847
_cell_angle_alpha 90.00
_cell_angle_beta 90.00
_cell_angle_gamma 90.00
_space_group_name_H-M_alt 'P 4/m b m'
_space_group_IT_number 127
_space_group_name_Hall '-P 4 2ab'
loop_
_atom_site_label
_atom_site_fract_x
_atom_site_fract_y
_atom_site_fract_z
La1 0.164 0.336 0.000
Y1 0.166 0.666 0.500
Co1 0.000 0.000 0.000

# 2
# HoTh3C2 (PBE-GGA, optimized geometry)
# calculated volume	24.084	A^3/atom
data_HoTh3C2
_cell_length_a 16.428
_cell_length_b 3.636
_cell_length_c 12.574
_cell_angle_alpha 90.00
_cell_angle_beta 129.69
_cell_angle_gamma 90.00
_space_group_name_H-M_alt 'C 1 2/m 1'
_space_group_IT_number 12
loop_
_space_group_symop_operation_xyz
'x,y,z'
'-x,-y,-z'
'-x,y,-z'
'x,-y,z'
'x+1/2,y+1/2,z'
'-x+1/2,-y+1/2,-z'
'-x+1/2,y+1/2,-z'
'x+1/2,-y+1/2,z'
loop_
_atom_site_label
_atom_site_fract_x
_atom_site_fract_y
_atom_site_fract_z
Ho1 0.140 0.000 0.200
Th1 0.134 0.500 0.943
Th2 0.136 0.500 0.449
Th3 0.139 0.000 0.698
C1 0.244 0.000 0.120
C2 0.247 0.500 0.373

# 3
# NdCdSn2 (PBE-GGA, optimized geometry)
# calculated volume	45.151	A^3/atom
data_NdCdSn2
_cell_length_a 5.2912
_cell_length_b 5.2912
_cell_length_c 22.3470
_cell_angle_alpha 90.00
_cell_angle_beta 90.00
_cell_angle_gamma 120.00
_space_group_name_H-M_alt 'R -3 m'
_space_group_IT_number 166
_space_group_name_Hall '-R 3 2"'
loop_
_atom_site_label
_atom_site_fract_x
_atom_site_fract_y
_atom_site_fract_z
Nd1 0.0000 0.0000 0.0000
Cd1 0.0000 0.0000 0.5000
Sn1 0.0000 0.0000 0.3734

# 4
# NbBPt3 (PBE-GGA, optimized geometry)
# calculated volume	23.472	A^3/atom
data_NbBPt3
_cell_length_a 4.896
_cell_length_b 4.896
_cell_length_c 4.896
_cell_angle_alpha 90.00
_cell_angle_beta 90.00
_cell_angle_gamma 90.00
_space_group_name_H-M_alt 'P m -3 m'
_space_group_IT_number 221
_space_group_name_Hall '-P 4 2 3'
loop_
_atom_site_label
_atom_site_fract_x
_atom_site_fract_y
_atom_site_fract_z
Nb1 0.000 0.000 0.000
B1 0.500 0.500 0.500
Pt1 0.000 0.000 0.500

# 5
# BaReSe2 (PBE-GGA, optimized geometry)
# ΔE_f (raw)	-2.009	eV/f.u.
# calculated volume	23.777	A^3/atom
data_BaReSe2
_cell_length_a 4.1715
_cell_length_b 4.1715
_cell_length_c 18.9307
_cell_angle_alpha 90.00
_cell_angle_beta 90.00
_cell_angle_gamma 120.00
_space_group_name_H-M_alt 'R -3 m'
_space_group_IT_number 166
_space_group_name_Hall '-R 3 2"'
loop_
_atom_site_label
_atom_site_fract_x
_atom_site_fract_y
_atom_site_fract_z
Ba1 0.0000 0.0000 0.0000
Re1 0.0000 0.0000 0.5000
Se1 0.0000 0.0000 0.2214

# 6
# HgTeAs2 (PBE-GGA, optimized geometry)
# ΔE_f (raw)	0.757	eV/f.u.
# calculated volume	24.464	A^3/atom
data_HgTeAs2
_cell_length_a 7.132
_cell_length_b 4.135
_cell_length_c 7.068
_cell_angle_alpha 90.00
_cell_angle_beta 110.13
_cell_angle_gamma 90.00
_space_group_name_H-M_alt 'C 1 2/m 1'
_space_group_IT_number 12
loop_
_space_group_symop_operation_xyz
'x,y,z'
'-x,-y,-z'
'-x,y,-z'
'x,-y,z'
'x+1/2,y+1/2,z'
'-x+1/2,-y+1/2,-z'
'-x+1/2,y+1/2,-z'
'x+1/2,-y+1/2,z'
loop_
_atom_site_label
_atom_site_fract_x
_atom_site_fract_y
_atom_site_fract_z
Hg1 0.000 0.000 0.000
Te1 0.000 0.500 0.500
As1 0.248 0.500 0.243

Respective VASP energy values: -5.826; -7.777; -3.229; -5.172; -5.837; -2.996 eV/atom.
Respective M_tot values: 0.00; 0.00; 0.00; 0.00; 0.00; 0.00 μB/atom.